Entry from Alexandria via LeMat-Bulk: an optimized crystal structure of Pa2MoH (PBE-GGA).

As for the electronic total energy: -32.70 eV/cell. As for the total magnetic moment: 0.00 μB per atom. The value obtained for the density of states at the Fermi level is 5.53 states/eV/f.u. The excess energy over the best structure of this formula in the dataset is 0.0 meV/atom. For the volume, the calculation gives 69.73 Å³/f.u.

The structure belongs to space group P4/mmm (No. 123); the cell edges are 3.231, 3.231 and 6.678 Å and the angles 90.00°, 90.00° and 90.00°. The asymmetric unit holds Pa at (0.000, 0.000, 0.219), Mo at (0.500, 0.500, 0.500) and H at (0.500, 0.500, 0.000).